First-principles (PBE-GGA) data for a geometry-optimized PuAlIn2Pd4 structure, as listed in Alexandria via LeMat-Bulk.

Results
VASP energy   -6.083 eV/atom
Magnetic moment   5.5 μB per formula unit

POSCAR file:
```
PuAlIn2Pd4
1.0
-0.5784 -4.0037 2.1894
3.3596 -3.1416 -0.0256
4.0400 0.8917 7.5299
Pd In Al Pu
4 2 1 1
Cartesian
2.7950 -0.4175 4.8068 Pd
2.4446 -4.1426 2.7340 Pd
4.0262 -5.8361 4.8869 Pd
4.3766 -2.1110 6.9597 Pd
1.7299 -1.5375 2.4772 In
5.0913 -4.7161 7.2164 In
3.4106 -3.1268 4.8468 Al
0.0000 0.0000 0.0000 Pu
```